A plane-wave DFT calculation with PBE was carried out for a geometry-optimized MgVSN2 structure.

Computed properties:
D(E_F)   5.64 states/eV/cell
Electronic total energy   -5.16 eV/atom
Crystal system   tetragonal
M_tot   0.10 μB per atom
Space group   P4/mmm, No. 123
Relative energy among the computed polymorphs   1.3595 eV per atom
Mass density   3.019 Mg/m³

Lattice parameters (Å, degrees): 3.8562 3.8562 5.0048 90.00 90.00 90.00
Fractional positions:
Mg 0.0000 0.0000 0.0000
V 0.5000 0.5000 0.5000
S 0.0000 0.0000 0.5000
N 0.0000 0.5000 0.0000
N 0.5000 0.0000 0.0000

***

A plane-wave DFT calculation with PBE was carried out for a geometry-optimized Mg2CrFe structure.

Computed properties:
D(E_F)   6.43 states/eV/cell
Electronic total energy   -4.86 eV/atom
Crystal system   orthorhombic
DFT formation energy   44.3 kJ/mol of atoms
M_tot   0.63 μB per atom
Space group   Cmmm, No. 65
Relative energy among the computed polymorphs   0.2641 eV per atom
Mass density   4.353 Mg/m³

Lattice parameters (Å, degrees): 3.4363 3.9948 8.6945 90.00 90.00 90.00
Fractional positions:
Mg 0.0000 0.0000 0.2458
Mg 0.0000 0.0000 0.7542
Mg 0.5000 0.5000 0.2458
Mg 0.5000 0.5000 0.7542
Cr 0.0000 0.5000 0.5000
Cr 0.5000 0.0000 0.5000
Fe 0.0000 0.5000 0.0000
Fe 0.5000 0.0000 0.0000

***

A plane-wave DFT calculation with PBE was carried out for a geometry-optimized La3Dy5Y3 structure.

Computed properties:
D(E_F)   15.67 states/eV/cell
Electronic total energy   -4.42 eV/atom
Crystal system   hexagonal
DFT formation energy   75.0 kJ/mol of atoms
M_tot   0.00 μB per atom
Space group   P-62m, No. 189
Mass density   5.703 Mg/m³

Lattice parameters (Å, degrees): 9.6085 9.6085 5.4481 90.00 90.00 120.00
Fractional positions:
La 0.0000 0.6376 0.0000
La 0.3624 0.3624 0.0000
La 0.6376 0.0000 0.0000
Dy 0.0000 0.2711 0.0000
Dy 0.2711 0.0000 0.0000
Dy 0.3333 0.6667 0.0000
Dy 0.6667 0.3333 0.0000
Dy 0.7289 0.7289 0.0000
Y 0.0000 0.4767 0.5000
Y 0.4767 0.0000 0.5000
Y 0.5233 0.5233 0.5000

***

A plane-wave DFT calculation with PBE was carried out for a geometry-optimized Pm2PrTlC structure.

Computed properties:
D(E_F)   2.01 states/eV/cell
Electronic total energy   -5.47 eV/atom
Crystal system   tetragonal
DFT formation energy   -28.4 kJ/mol of atoms
M_tot   0.00 μB per atom
Space group   P4/mmm, No. 123
Mass density   8.016 Mg/m³

Lattice parameters (Å, degrees): 5.0925 5.0925 5.1705 90.00 90.00 90.00
Fractional positions:
Pm 0.0000 0.5000 0.0000
Pm 0.5000 0.0000 0.0000
Pr 0.0000 0.0000 0.5000
Tl 0.5000 0.5000 0.5000
C 0.0000 0.0000 0.0000

***

A plane-wave DFT calculation with PBE was carried out for a geometry-optimized LiLaErNi structure.

Computed properties:
D(E_F)   12.13 states/eV/cell
Electronic total energy   -4.38 eV/atom
Crystal system   cubic
DFT formation energy   -8.5 kJ/mol of atoms
M_tot   0.00 μB per atom
Space group   F-43m, No. 216
Mass density   6.853 Mg/m³

Lattice parameters (Å, degrees): 7.1163 7.1163 7.1163 90.00 90.00 90.00
Fractional positions:
Li 0.0000 0.0000 0.0000
Li 0.0000 0.5000 0.5000
Li 0.5000 0.0000 0.5000
Li 0.5000 0.5000 0.0000
La 0.2500 0.2500 0.7500
La 0.2500 0.7500 0.2500
La 0.7500 0.2500 0.2500
La 0.7500 0.7500 0.7500
Er 0.2500 0.2500 0.2500
Er 0.2500 0.7500 0.7500
Er 0.7500 0.2500 0.7500
Er 0.7500 0.7500 0.2500
Ni 0.0000 0.0000 0.5000
Ni 0.0000 0.5000 0.0000
Ni 0.5000 0.0000 0.0000
Ni 0.5000 0.5000 0.5000

***

A plane-wave DFT calculation with PBE was carried out for a geometry-optimized Nd2Zn6Ag9 structure.

Computed properties:
D(E_F)   6.89 states/eV/cell
Electronic total energy   -2.59 eV/atom
Crystal system   hexagonal
DFT formation energy   -6.7 kJ/mol of atoms
M_tot   0.00 μB per atom
Space group   P6/mmm, No. 191
Mass density   7.636 Mg/m³

Lattice parameters (Å, degrees): 5.6282 5.6282 13.0936 90.00 90.00 120.00
Fractional positions:
Nd 0.0000 0.0000 0.1665
Nd 0.0000 0.0000 0.8335
Zn 0.3333 0.6667 0.1656
Zn 0.3333 0.6667 0.5000
Zn 0.3333 0.6667 0.8344
Zn 0.6667 0.3333 0.1656
Zn 0.6667 0.3333 0.5000
Zn 0.6667 0.3333 0.8344
Ag 0.0000 0.5000 0.0000
Ag 0.0000 0.5000 0.3333
Ag 0.0000 0.5000 0.6667
Ag 0.5000 0.0000 0.0000
Ag 0.5000 0.0000 0.3333
Ag 0.5000 0.0000 0.6667
Ag 0.5000 0.5000 0.0000
Ag 0.5000 0.5000 0.3333
Ag 0.5000 0.5000 0.6667

***

A plane-wave DFT calculation with PBE was carried out for a geometry-optimized CaSbPt3 structure.

Computed properties:
D(E_F)   4.63 states/eV/cell
Electronic total energy   -4.93 eV/atom
Crystal system   cubic
M_tot   0.00 μB per atom
Space group   Pm-3m, No. 221
Relative energy among the computed polymorphs   0.5770 eV per atom
Mass density   9.947 Mg/m³

Lattice parameters (Å, degrees): 4.9962 4.9962 4.9962 90.00 90.00 90.00
Fractional positions:
Ca 0.0000 0.0000 0.0000
Sb 0.5000 0.5000 0.5000
Pt 0.0000 0.5000 0.5000
Pt 0.5000 0.0000 0.5000
Pt 0.5000 0.5000 0.0000

***

A plane-wave DFT calculation with PBE was carried out for a geometry-optimized GdErRu structure.

Computed properties:
D(E_F)   2.40 states/eV/cell
Electronic total energy   -9.44 eV/atom
Crystal system   trigonal
DFT formation energy   -13.3 kJ/mol of atoms
M_tot   2.45 μB per atom
Space group   P3m1, No. 156
Relative energy among the computed polymorphs   0.1979 eV per atom
Mass density   10.265 Mg/m³

Lattice parameters (Å, degrees): 4.6993 4.6993 3.5996 90.00 90.00 120.00
Fractional positions:
Gd 0.0000 0.0000 0.0000
Er 0.3333 0.6667 0.5447
Ru 0.6667 0.3333 0.2901

***

A plane-wave DFT calculation with PBE was carried out for a geometry-optimized Ac2Ga6CuNi structure.

Computed properties:
D(E_F)   4.10 states/eV/cell
Electronic total energy   -4.02 eV/atom
Crystal system   triclinic
DFT formation energy   -37.9 kJ/mol of atoms
M_tot   0.00 μB per atom
Space group   P-1, No. 2
Mass density   7.817 Mg/m³

Lattice parameters (Å, degrees): 6.3414 6.3625 7.0200 64.07 63.37 60.27
Fractional positions:
Ac 0.2099 0.2105 0.3701
Ac 0.7901 0.7895 0.6299
Ga 0.2501 0.6668 0.8336
Ga 0.2506 0.2479 0.8307
Ga 0.3294 0.7510 0.1685
Ga 0.6706 0.2490 0.8315
Ga 0.7494 0.7521 0.1693
Ga 0.7499 0.3332 0.1664
Cu 0.5000 0.5000 0.5000
Ni 0.0000 0.0000 0.0000

***

A plane-wave DFT calculation with PBE was carried out for a geometry-optimized Hg4PtBr2O structure.

Computed properties:
D(E_F)   6.75 states/eV/cell
Electronic total energy   -1.95 eV/atom
Crystal system   monoclinic
M_tot   0.00 μB per atom
Space group   C2/c, No. 15
Mass density   9.407 Mg/m³

Lattice parameters (Å, degrees): 7.7332 7.7332 8.1238 110.45 110.45 95.00
Fractional positions:
Hg 0.1412 0.2470 0.8776
Hg 0.1940 0.7232 0.9663
Hg 0.2470 0.1412 0.3776
Hg 0.2768 0.8060 0.5337
Hg 0.7232 0.1940 0.4663
Hg 0.7530 0.8588 0.6224
Hg 0.8060 0.2768 0.0337
Hg 0.8588 0.7530 0.1224
Pt 0.0000 0.0000 0.0000
Pt 0.0000 0.0000 0.5000
Br 0.0000 0.5000 0.5000
Br 0.5000 0.0000 0.0000
Br 0.5000 0.5000 0.0000
Br 0.5000 0.5000 0.5000
O 0.0000 0.5000 0.0000
O 0.5000 0.0000 0.5000

***

Q: What is the formula in the fifth record?
A: LiLaErNi

***

Repeat the third record exactly.
A plane-wave DFT calculation with PBE was carried out for a geometry-optimized La3Dy5Y3 structure.

Computed properties:
D(E_F)   15.67 states/eV/cell
Electronic total energy   -4.42 eV/atom
Crystal system   hexagonal
DFT formation energy   75.0 kJ/mol of atoms
M_tot   0.00 μB per atom
Space group   P-62m, No. 189
Mass density   5.703 Mg/m³

Lattice parameters (Å, degrees): 9.6085 9.6085 5.4481 90.00 90.00 120.00
Fractional positions:
La 0.0000 0.6376 0.0000
La 0.3624 0.3624 0.0000
La 0.6376 0.0000 0.0000
Dy 0.0000 0.2711 0.0000
Dy 0.2711 0.0000 0.0000
Dy 0.3333 0.6667 0.0000
Dy 0.6667 0.3333 0.0000
Dy 0.7289 0.7289 0.0000
Y 0.0000 0.4767 0.5000
Y 0.4767 0.0000 0.5000
Y 0.5233 0.5233 0.5000